No. 1
# GdScN2

GdScN2 after structural relaxation (PBE, the Open Quantum Materials Database).

Cell: 3.370 3.370 4.753 Å, 90.00 90.00 90.00°
Fractional positions:
Gd1 0.000 0.000 0.000
N1 0.500 0.500 0.000
N2 0.000 0.000 0.500
Sc1 0.500 0.500 0.500

Summary:
As for the raw total energy: -8.551 eV per atom. Its space group is P4/mmm (123).

No. 2
# AcNbTc

AcNbTc after structural relaxation (PBE, the Open Quantum Materials Database).

Cell: 4.691 4.691 4.691 Å, 60.00 60.00 60.00°
Fractional positions:
Ac1 0.250 0.250 0.250
Nb1 0.000 0.000 0.000
Tc1 0.750 0.750 0.750

Summary:
As for the raw total energy: -7.369 eV per atom. Its space group is F-43m (216). Its energy of formation from the pure elements is 78.9 kJ per mole of atoms.